This record from Alexandria via LeMat-Bulk describes a geometry-optimized La4Pr3Th structure. The functional is PBE.

## Properties
Final energy: -38.83 eV per cell
E above lowest polymorph: 133 meV per atom
Formation enthalpy at 0 K: 330 meV/atom

Cell: 9.196 9.196 3.474 Å, 90.00 90.00 97.69°
Element x y z (fractional)
La 0.238 0.238 0.500
La 0.247 0.753 0.000
La 0.753 0.247 0.000
La 0.762 0.762 0.500
Pr 0.000 0.500 0.500
Pr 0.500 0.000 0.500
Pr 0.500 0.500 0.000
Th 0.000 0.000 0.000